(1)
The following is a GGA-PBE calculation of an optimized crystal structure of AlSiAgO4, from Alexandria via LeMat-Bulk.

Properties
The density of states at the Fermi level is 0.00 states/eV/cell. The energy above the most stable polymorph in this dataset is 0.0144 eV per atom. The electronic total energy is -287.08 eV for the cell shown. The theoretical density comes out at 2.9 g cm⁻³. The raw formation energy comes out at -2.29 eV/atom.

Lattice parameters (Å, degrees): 9.219 9.219 9.219 90.18 90.18 90.18
Fractional positions:
O 0.362 0.350 0.951
O 0.046 0.359 0.649
O 0.951 0.362 0.350
O 0.460 0.152 0.140
O 0.640 0.652 0.960
O 0.351 0.042 0.642
O 0.960 0.640 0.652
O 0.851 0.142 0.542
O 0.642 0.351 0.042
O 0.850 0.862 0.451
O 0.042 0.642 0.351
O 0.859 0.546 0.149
O 0.546 0.149 0.859
O 0.350 0.951 0.362
O 0.862 0.451 0.850
O 0.142 0.542 0.851
O 0.652 0.960 0.640
O 0.140 0.460 0.152
O 0.451 0.850 0.862
O 0.649 0.046 0.359
O 0.152 0.140 0.460
O 0.542 0.851 0.142
O 0.149 0.859 0.546
O 0.359 0.649 0.046
Al 0.504 0.996 0.750
Al 0.750 0.504 0.996
Al 0.004 0.250 0.496
Al 0.250 0.496 0.004
Al 0.996 0.750 0.504
Al 0.496 0.004 0.250
Ag 0.255 0.742 0.257
Ag 0.242 0.755 0.757
Ag 0.742 0.257 0.255
Ag 0.755 0.757 0.242
Ag 0.257 0.255 0.742
Ag 0.757 0.242 0.755
Si 0.749 0.000 0.501
Si 0.500 0.249 0.001
Si 0.501 0.749 0.000
Si 0.000 0.501 0.749
Si 0.249 0.001 0.500
Si 0.001 0.500 0.249


(2)
The following is a GGA-PBE calculation of an optimized crystal structure of AlSi2AgO6, from Alexandria via LeMat-Bulk.

Properties
The density of states at the Fermi level is 0.00 states/eV/cell. The electronic total energy is -142.81 eV for the cell shown. The theoretical density comes out at 3.4 g cm⁻³. The raw formation energy comes out at -2.42 eV/atom.

Lattice parameters (Å, degrees): 5.375 7.575 7.575 94.29 73.23 73.23
Fractional positions:
O 0.801 0.993 0.253
O 0.420 0.324 0.297
O 0.199 0.007 0.747
O 0.548 0.214 0.593
O 0.580 0.676 0.703
O 0.301 0.253 0.993
O 0.920 0.297 0.324
O 0.080 0.703 0.676
O 0.452 0.786 0.407
O 0.952 0.407 0.786
O 0.048 0.593 0.214
O 0.699 0.747 0.007
Al 0.750 0.771 0.229
Al 0.250 0.229 0.771
Ag 0.750 0.103 0.897
Ag 0.250 0.897 0.103
Si 0.832 0.628 0.791
Si 0.668 0.209 0.372
Si 0.168 0.372 0.209
Si 0.332 0.791 0.628


(3)
The following is a GGA-PBE calculation of an optimized crystal structure of AlSi3AgO8, from Alexandria via LeMat-Bulk.

Properties
The density of states at the Fermi level is 0.00 states/eV/cell. The energy above the most stable polymorph in this dataset is 0.0000 eV per atom. The electronic total energy is -190.69 eV for the cell shown. The theoretical density comes out at 3.3 g cm⁻³. The raw formation energy comes out at -2.52 eV/atom.

Lattice parameters (Å, degrees): 7.253 7.872 7.585 114.00 99.06 108.51
Fractional positions:
O 0.286 0.327 0.725
O 0.770 0.280 0.655
O 0.184 0.927 0.706
O 0.039 0.856 0.132
O 0.442 0.043 0.312
O 0.269 0.666 0.988
O 0.382 0.304 0.096
O 0.961 0.144 0.868
O 0.618 0.696 0.904
O 0.230 0.720 0.345
O 0.731 0.334 0.012
O 0.816 0.073 0.294
O 0.719 0.396 0.383
O 0.281 0.604 0.617
O 0.714 0.673 0.275
O 0.558 0.957 0.688
Si 0.633 0.429 0.188
Si 0.312 0.809 0.592
Si 0.758 0.180 0.808
Si 0.688 0.191 0.408
Si 0.242 0.820 0.192
Si 0.367 0.571 0.812
Ag 0.157 0.267 0.292
Ag 0.843 0.733 0.708
Al 0.795 0.820 0.156
Al 0.205 0.180 0.844